{
  "formula": "Lu2ZrTe",
  "functional": "GGA-PBE",
  "state": "relaxed",
  "de_polymorph_mev_per_atom": 74.7,
  "raw_formation_energy_ev_per_atom": -0.39,
  "crystal_system": "trigonal",
  "lattice_angstrom": [[1.8398, 1.0622, 9.4065], [-1.8398, 1.0622, 9.4065], [0.0000, -2.1244, 9.4065]],
  "species": ["Lu", "Lu", "Zr", "Te"],
  "frac_coords": [[0.2439, 0.2439, 0.2439], [0.7561, 0.7561, 0.7561], [0.0000, 0.0000, 0.0000], [0.5000, 0.5000, 0.5000]]
}

{
  "formula": "CoPd3Cl",
  "functional": "GGA-PBE",
  "state": "relaxed",
  "de_polymorph_mev_per_atom": 16.1,
  "raw_formation_energy_ev_per_atom": 0.79,
  "crystal_system": "cubic",
  "lattice_angstrom": [[4.6404, 0.0000, 0.0000], [0.0000, 4.6404, 0.0000], [0.0000, 0.0000, 4.6404]],
  "species": ["Co", "Pd", "Pd", "Pd", "Cl"],
  "frac_coords": [[0.0000, 0.0000, 0.0000], [0.0000, 0.0000, 0.5000], [0.0000, 0.5000, 0.0000], [0.5000, 0.0000, 0.0000], [0.5000, 0.5000, 0.5000]]
}

{
  "formula": "RbYHf",
  "functional": "GGA-PBE",
  "state": "relaxed",
  "delta_e_f_ev_per_atom": 1.11,
  "de_polymorph_mev_per_atom": 866.7,
  "crystal_system": "hexagonal",
  "lattice_angstrom": [[6.0954, 0.0000, 0.0000], [-3.0477, 5.2787, 0.0000], [0.0000, 0.0000, 3.1780]],
  "species": ["Rb", "Y", "Hf"],
  "frac_coords": [[0.0000, 0.0000, 0.0000], [0.3333, 0.6667, 0.5000], [0.6667, 0.3333, 0.5000]]
}

{
  "formula": "La12Tb2Y5",
  "functional": "GGA-PBE",
  "state": "relaxed",
  "delta_e_f_ev_per_atom": 0.11,
  "de_polymorph_mev_per_atom": 0.0,
  "crystal_system": "monoclinic",
  "lattice_angstrom": [[11.2338, -5.3694, 0.0000], [11.2338, 5.3694, 0.0000], [-1.4826, 0.0000, 5.5860]],
  "species": ["La", "La", "La", "La", "La", "La", "La", "La", "La", "La", "La", "La", "Tb", "Tb", "Y", "Y", "Y", "Y", "Y"],
  "frac_coords": [[0.0257, 0.5868, 0.8083], [0.0740, 0.0740, 0.0395], [0.1305, 0.7057, 0.4306], [0.2943, 0.8695, 0.5694], [0.3773, 0.3773, 0.8494], [0.4132, 0.9743, 0.1917], [0.5868, 0.0257, 0.8083], [0.6227, 0.6227, 0.1506], [0.7057, 0.1305, 0.4306], [0.8695, 0.2943, 0.5694], [0.9260, 0.9260, 0.9605], [0.9743, 0.4132, 0.1917], [0.3033, 0.6967, 0.0000], [0.6967, 0.3033, 0.0000], [0.2086, 0.2086, 0.6992], [0.3141, 0.3141, 0.2911], [0.5000, 0.5000, 0.5000], [0.6859, 0.6859, 0.7089], [0.7914, 0.7914, 0.3008]]
}

{
  "formula": "Pr2Nd5Dy5",
  "functional": "GGA-PBE",
  "state": "relaxed",
  "delta_e_f_ev_per_atom": 0.02,
  "crystal_system": "monoclinic",
  "lattice_angstrom": [[7.7063, -2.5596, 0.0000], [7.7063, 2.5596, 0.0000], [-5.1578, 0.0000, 10.2784]],
  "species": ["Pr", "Pr", "Nd", "Nd", "Nd", "Nd", "Nd", "Dy", "Dy", "Dy", "Dy", "Dy"],
  "frac_coords": [[0.0829, 0.0829, 0.2513], [0.9171, 0.9171, 0.7487], [0.0000, 0.0000, 0.5000], [0.1658, 0.1658, 0.9991], [0.2487, 0.2487, 0.7477], [0.7513, 0.7513, 0.2523], [0.8342, 0.8342, 0.0009], [0.3331, 0.3331, 0.4993], [0.4170, 0.4170, 0.2509], [0.5000, 0.5000, 0.0000], [0.5830, 0.5830, 0.7491], [0.6669, 0.6669, 0.5007]]
}

{
  "formula": "Ce2Sc2Pb3",
  "functional": "GGA-PBE",
  "state": "relaxed",
  "delta_e_f_ev_per_atom": -0.27,
  "crystal_system": "orthorhombic",
  "lattice_angstrom": [[2.3028, -12.1512, 0.0000], [2.3028, 12.1512, 0.0000], [0.0000, 0.0000, 3.4218]],
  "species": ["Ce", "Ce", "Sc", "Sc", "Pb", "Pb", "Pb"],
  "frac_coords": [[0.0766, 0.9234, 0.0000], [0.9234, 0.0766, 0.0000], [0.2094, 0.7906, 0.0000], [0.7906, 0.2094, 0.0000], [0.3357, 0.6643, 0.5000], [0.5000, 0.5000, 0.5000], [0.6643, 0.3357, 0.5000]]
}

{
  "formula": "Ba2InPbSe5",
  "functional": "GGA-PBE",
  "state": "relaxed",
  "raw_formation_energy_ev_per_atom": -1.16,
  "crystal_system": "orthorhombic",
  "lattice_angstrom": [[2.1928, -9.9338, 0.0000], [2.1928, 9.9338, 0.0000], [0.0000, 0.0000, 13.1043]],
  "species": ["Ba", "Ba", "Ba", "Ba", "In", "In", "Pb", "Pb", "Se", "Se", "Se", "Se", "Se", "Se", "Se", "Se", "Se", "Se"],
  "frac_coords": [[0.1105, 0.8895, 0.5000], [0.1236, 0.8764, 0.1263], [0.8764, 0.1236, 0.6263], [0.8895, 0.1105, 0.0000], [0.4366, 0.5634, 0.2644], [0.5634, 0.4366, 0.7644], [0.2233, 0.7767, 0.8439], [0.7767, 0.2233, 0.3439], [0.0481, 0.9519, 0.8770], [0.2785, 0.7215, 0.4964], [0.3108, 0.6892, 0.1859], [0.3623, 0.6377, 0.8159], [0.5004, 0.4996, 0.0924], [0.4996, 0.5004, 0.5924], [0.6377, 0.3623, 0.3159], [0.6892, 0.3108, 0.6859], [0.7215, 0.2785, 0.9964], [0.9519, 0.0481, 0.3770]]
}

{
  "formula": "Y3CoPd",
  "functional": "GGA-PBE",
  "state": "relaxed",
  "delta_e_f_ev_per_atom": -0.44,
  "de_polymorph_mev_per_atom": 0.0,
  "crystal_system": "monoclinic",
  "lattice_angstrom": [[7.6970, 0.0000, 0.0000], [0.0000, 3.8967, 0.0000], [-2.5729, 0.0000, 7.8829]],
  "species": ["Y", "Y", "Y", "Y", "Y", "Y", "Co", "Co", "Pd", "Pd"],
  "frac_coords": [[0.0779, 0.2500, 0.2370], [0.3069, 0.2500, 0.9293], [0.3456, 0.7500, 0.5938], [0.6544, 0.2500, 0.4062], [0.6931, 0.7500, 0.0707], [0.9221, 0.7500, 0.7630], [0.0576, 0.2500, 0.5766], [0.9424, 0.7500, 0.4234], [0.3594, 0.7500, 0.2039], [0.6406, 0.2500, 0.7961]]
}

{
  "formula": "PaAs2Ru",
  "functional": "GGA-PBE",
  "state": "relaxed",
  "delta_e_f_ev_per_atom": -0.63,
  "de_polymorph_mev_per_atom": 142.0,
  "crystal_system": "trigonal",
  "lattice_angstrom": [[2.0260, 1.1697, 5.4224], [-2.0260, 1.1697, 5.4224], [0.0000, -2.3394, 5.4224]],
  "species": ["Pa", "As", "As", "Ru"],
  "frac_coords": [[0.0000, 0.0000, 0.0000], [0.2318, 0.2318, 0.2318], [0.7682, 0.7682, 0.7682], [0.5000, 0.5000, 0.5000]]
}

{
  "formula": "LaCrIr2",
  "functional": "GGA-PBE",
  "state": "relaxed",
  "delta_e_f_ev_per_atom": -0.23,
  "de_polymorph_mev_per_atom": 0.0,
  "crystal_system": "trigonal",
  "lattice_angstrom": [[2.1230, 1.2257, 5.2434], [-2.1230, 1.2257, 5.2434], [0.0000, -2.4514, 5.2434]],
  "species": ["La", "Cr", "Ir", "Ir"],
  "frac_coords": [[0.0000, 0.0000, 0.0000], [0.5000, 0.5000, 0.5000], [0.2070, 0.2070, 0.2070], [0.7930, 0.7930, 0.7930]]
}

{
  "formula": "HoLuGeAu",
  "functional": "GGA-PBE",
  "state": "relaxed",
  "delta_e_f_ev_per_atom": -0.74,
  "crystal_system": "cubic",
  "lattice_angstrom": [[0.0000, 3.5502, 3.5502], [3.5502, 0.0000, 3.5502], [3.5502, 3.5502, 0.0000]],
  "species": ["Ho", "Lu", "Ge", "Au"],
  "frac_coords": [[0.0000, 0.0000, 0.0000], [0.5000, 0.5000, 0.5000], [0.2500, 0.2500, 0.2500], [0.7500, 0.7500, 0.7500]]
}

{
  "formula": "CaPr4Nd3",
  "functional": "GGA-PBE",
  "state": "relaxed",
  "delta_e_f_ev_per_atom": 0.03,
  "crystal_system": "orthorhombic",
  "lattice_angstrom": [[7.4262, 0.0000, 0.0000], [0.0000, 7.4182, 0.0000], [0.0000, 0.0000, 10.4898]],
  "species": ["Ca", "Ca", "Pr", "Pr", "Pr", "Pr", "Pr", "Pr", "Pr", "Pr", "Nd", "Nd", "Nd", "Nd", "Nd", "Nd"],
  "frac_coords": [[0.0000, 0.0002, 0.0000], [0.5000, 0.9998, 0.5000], [0.0000, 0.9996, 0.5001], [0.0000, 0.5005, 0.5002], [0.2500, 0.2558, 0.2504], [0.2500, 0.7442, 0.7504], [0.5000, 0.0004, 0.0001], [0.5000, 0.4995, 0.0002], [0.7500, 0.2558, 0.2504], [0.7500, 0.7442, 0.7504], [0.0000, 0.4995, 0.0000], [0.2501, 0.2564, 0.7496], [0.2499, 0.7436, 0.2496], [0.5000, 0.5005, 0.5000], [0.7499, 0.2564, 0.7496], [0.7501, 0.7436, 0.2496]]
}

| no. | E_tot (eV per cell) |
| --- | --- |
| 1 | -22.3 |
| 2 | -20.6 |
| 3 | -14.0 |
| 4 | -98.6 |
| 5 | -56.2 |
| 6 | -37.6 |
| 7 | -76.4 |
| 8 | -67.8 |
| 9 | -30.6 |
| 10 | -33.2 |
| 11 | -19.9 |
| 12 | -70.4 |